# 1
# Sc2CuTcHg, optimized geometry, DFT PBE
data_Sc2CuTcHg
_cell_length_a 5.2161
_cell_length_b 5.2161
_cell_length_c 5.0610
_cell_angle_alpha 90.00
_cell_angle_beta 90.00
_cell_angle_gamma 90.00
_space_group_name_H-M_alt 'P 1'
_space_group_IT_number 1
loop_
_space_group_symop_operation_xyz
'x,y,z'
loop_
_atom_site_label
_atom_site_type_symbol
_atom_site_fract_x
_atom_site_fract_y
_atom_site_fract_z
_atom_site_occupancy
Sc1 Sc 0.0000 0.5000 0.0000 1
Sc2 Sc 0.5000 0.0000 0.0000 1
Cu1 Cu 0.0000 0.0000 0.5000 1
Tc1 Tc 0.5000 0.5000 0.5000 1
Hg1 Hg 0.5000 0.5000 0.0000 1
# **Formation energy from the elements**: 1.25 eV/atom
# **Symmetry**: P4/mmm (123)


# 2
# ScTlCuHg, optimized geometry, DFT PBE
data_ScTlCuHg
_cell_length_a 4.8367
_cell_length_b 4.8367
_cell_length_c 4.8367
_cell_angle_alpha 60.00
_cell_angle_beta 60.00
_cell_angle_gamma 60.00
_space_group_name_H-M_alt 'P 1'
_space_group_IT_number 1
loop_
_space_group_symop_operation_xyz
'x,y,z'
loop_
_atom_site_label
_atom_site_type_symbol
_atom_site_fract_x
_atom_site_fract_y
_atom_site_fract_z
_atom_site_occupancy
Sc1 Sc 0.0000 0.0000 0.0000 1
Tl1 Tl 0.2500 0.2500 0.2500 1
Cu1 Cu 0.5000 0.5000 0.5000 1
Hg1 Hg 0.7500 0.7500 0.7500 1
# **Formation energy from the elements**: -0.07 eV/atom
# **Symmetry**: F-43m (216)


# 3
# Cu2HgSe, optimized geometry, DFT PBE
data_Cu2HgSe
_cell_length_a 2.8705
_cell_length_b 2.8705
_cell_length_c 8.9424
_cell_angle_alpha 90.00
_cell_angle_beta 90.00
_cell_angle_gamma 90.00
_space_group_name_H-M_alt 'P 1'
_space_group_IT_number 1
loop_
_space_group_symop_operation_xyz
'x,y,z'
loop_
_atom_site_label
_atom_site_type_symbol
_atom_site_fract_x
_atom_site_fract_y
_atom_site_fract_z
_atom_site_occupancy
Cu1 Cu 0.0000 0.0000 0.0000 1
Cu2 Cu 0.5000 0.5000 0.1738 1
Hg1 Hg 0.0000 0.0000 0.4056 1
Se1 Se 0.5000 0.5000 0.7932 1
# **VASP energy**: -2.79 eV/atom
# **Symmetry**: P4mm (99)